Record 1
VASP calculation (PBE) on Ba2CuSiAg after structural relaxation.

a = 6.193 Å, b = 6.193 Å, c = 4.374 Å
α = 90.00°, β = 90.00°, γ = 90.00°
Sites, in units of the cell vectors:
1 Si 0.000 0.000 0.500
2 Cu 0.000 0.000 0.000
3 Ba 0.000 0.500 0.000
4 Ba 0.500 0.000 0.000
5 Ag 0.500 0.500 0.500

Computed properties:
As for the space-group type: P4/mmm. The total energy is -0.248 Ry/atom. The calculation puts the theoretical density at 4.69 Mg/m³. The calculation puts the density of states at the Fermi level at 0.245 states/eV/atom.

=====

Record 2
VASP calculation (PBE) on BaCuAg2Sn after structural relaxation.

a = 5.152 Å, b = 5.152 Å, c = 4.982 Å
α = 90.00°, β = 90.00°, γ = 90.00°
Sites, in units of the cell vectors:
1 Cu 0.000 0.000 0.000
2 Ba 0.500 0.500 0.500
3 Ag 0.000 0.500 0.000
4 Ag 0.500 0.000 0.000
5 Sn 0.000 0.000 0.500

Computed properties:
As for the space-group type: P4/mmm. The total energy is -0.237 Ry/atom. The calculation puts the theoretical density at 6.72 Mg/m³. The calculation puts the density of states at the Fermi level at 0.572 states/eV/atom. The formation energy is -83 meV/atom.

=====

The lowest theoretical density belongs to which entry?
Ba2CuSiAg